## SrMoF2 (GGA+U)

Data for SrMoF2 after structural relaxation.

```
SrMoF2
1.0
-2.919 2.919 6.147
2.919 -2.919 6.147
2.919 2.919 -6.147
Sr Mo F
2 2 4
Direct
0.000 0.000 0.000
0.750 0.250 0.500
0.250 0.750 0.500
0.500 0.500 0.000
0.050 0.625 0.925
0.375 0.300 0.425
0.700 0.125 0.075
0.875 0.950 0.575
```

## Properties
Total moment, μB per atom: 1.39
Relative energy among the computed polymorphs, kJ/mol of formula units: 84.9
Energy, eV per atom: -4.900